Here is SrLa2ScRu after structural relaxation from the Alexandria database. Energies are from PBE-GGA.

Results
Total DFT energy (no corrections) (eV/atom): -5.55

a b c (Å): 5.6304 5.6304 5.3317
angles (deg): 90.00 90.00 90.00
Fractional positions:
Sr1 0.0000 0.0000 0.0000
La1 0.0000 0.5000 0.5000
La2 0.5000 0.0000 0.5000
Sc1 0.5000 0.5000 0.0000
Ru1 0.5000 0.5000 0.5000